[1]
Li2GaTeRh | GGA-PBEsol | relaxed

* crystal system: tetragonal
* total DFT energy (no corrections): -18.965 eV/cell
* ΔE_f (raw): -5 meV/atom
* calculated volume: 95 Å³/cell

Cell and atoms, written as CIF:
```
data_Li2GaTeRh
_symmetry_space_group_name_H-M 'P 4/m m m'
_symmetry_Int_Tables_number 123
_symmetry_space_group_name_Hall '-P 4 2'
_cell_length_a 4.5828
_cell_length_b 4.5828
_cell_length_c 4.5376
_cell_angle_alpha 90.00
_cell_angle_beta 90.00
_cell_angle_gamma 90.00
loop_
_atom_site_label
_atom_site_fract_x
_atom_site_fract_y
_atom_site_fract_z
Li1 0.0000 0.5000 0.0000
Ga1 0.0000 0.0000 0.0000
Te1 0.5000 0.5000 0.5000
Rh1 0.0000 0.0000 0.5000
```

[2]
LiGa2Ru2 | GGA-PBEsol | relaxed

* crystal system: tetragonal
* total DFT energy (no corrections): -59.916 eV/cell
* formation enthalpy at 0 K: -193 meV/atom
* calculated volume: 140 Å³/cell

Cell and atoms, written as CIF:
```
data_LiGa2Ru2
_symmetry_space_group_name_H-M 'P 4/m b m'
_symmetry_Int_Tables_number 127
_symmetry_space_group_name_Hall '-P 4 2ab'
_cell_length_a 6.6782
_cell_length_b 6.6782
_cell_length_c 3.1430
_cell_angle_alpha 90.00
_cell_angle_beta 90.00
_cell_angle_gamma 90.00
loop_
_atom_site_label
_atom_site_fract_x
_atom_site_fract_y
_atom_site_fract_z
Li1 0.0000 0.0000 0.0000
Ga1 0.1404 0.3596 0.0000
Ru1 0.1577 0.6577 0.5000
```

[3]
LiGaRu3 | GGA-PBEsol | relaxed

* crystal system: cubic
* total DFT energy (no corrections): -28.535 eV/cell
* formation enthalpy at 0 K: 1458 meV/atom
* calculated volume: 92 Å³/cell

Cell and atoms, written as CIF:
```
data_LiGaRu3
_symmetry_space_group_name_H-M 'P m -3 m'
_symmetry_Int_Tables_number 221
_symmetry_space_group_name_Hall '-P 4 2 3'
_cell_length_a 4.5129
_cell_length_b 4.5129
_cell_length_c 4.5129
_cell_angle_alpha 90.00
_cell_angle_beta 90.00
_cell_angle_gamma 90.00
loop_
_atom_site_label
_atom_site_fract_x
_atom_site_fract_y
_atom_site_fract_z
Li1 0.0000 0.0000 0.0000
Ga1 0.5000 0.5000 0.5000
Ru1 0.0000 0.5000 0.5000
```

[4]
LiGaRuW2 | GGA-PBEsol | relaxed

* crystal system: tetragonal
* total DFT energy (no corrections): -33.700 eV/cell
* formation enthalpy at 0 K: 1879 meV/atom
* calculated volume: 94 Å³/cell

Cell and atoms, written as CIF:
```
data_LiGaRuW2
_symmetry_space_group_name_H-M 'P 4/m m m'
_symmetry_Int_Tables_number 123
_symmetry_space_group_name_Hall '-P 4 2'
_cell_length_a 4.5916
_cell_length_b 4.5916
_cell_length_c 4.4566
_cell_angle_alpha 90.00
_cell_angle_beta 90.00
_cell_angle_gamma 90.00
loop_
_atom_site_label
_atom_site_fract_x
_atom_site_fract_y
_atom_site_fract_z
Li1 0.0000 0.0000 0.0000
Ga1 0.5000 0.5000 0.5000
Ru1 0.5000 0.5000 0.0000
W1 0.0000 0.5000 0.5000
```

[5]
Li3GaS | GGA-PBEsol | relaxed

* crystal system: cubic
* total DFT energy (no corrections): -16.222 eV/cell
* ΔE_f (raw): -520 meV/atom
* calculated volume: 95 Å³/cell

Cell and atoms, written as CIF:
```
data_Li3GaS
_symmetry_space_group_name_H-M 'P m -3 m'
_symmetry_Int_Tables_number 221
_symmetry_space_group_name_Hall '-P 4 2 3'
_cell_length_a 4.5559
_cell_length_b 4.5559
_cell_length_c 4.5559
_cell_angle_alpha 90.00
_cell_angle_beta 90.00
_cell_angle_gamma 90.00
loop_
_atom_site_label
_atom_site_fract_x
_atom_site_fract_y
_atom_site_fract_z
Li1 0.0000 0.0000 0.5000
Ga1 0.5000 0.5000 0.5000
S1 0.0000 0.0000 0.0000
```

[6]
LiGaWS2 | GGA-PBEsol | relaxed

* crystal system: tetragonal
* total DFT energy (no corrections): -22.480 eV/cell
* ΔE_f (raw): 1080 meV/atom
* calculated volume: 111 Å³/cell

Cell and atoms, written as CIF:
```
data_LiGaWS2
_symmetry_space_group_name_H-M 'P 4/m m m'
_symmetry_Int_Tables_number 123
_symmetry_space_group_name_Hall '-P 4 2'
_cell_length_a 4.7865
_cell_length_b 4.7865
_cell_length_c 4.8244
_cell_angle_alpha 90.00
_cell_angle_beta 90.00
_cell_angle_gamma 90.00
loop_
_atom_site_label
_atom_site_fract_x
_atom_site_fract_y
_atom_site_fract_z
Li1 0.0000 0.0000 0.0000
Ga1 0.5000 0.5000 0.5000
W1 0.5000 0.5000 0.0000
S1 0.0000 0.5000 0.5000
```

[7]
Li2GaSb | GGA-PBEsol | relaxed

* E above lowest polymorph: 0.000 eV/atom
* crystal system: cubic
* total DFT energy (no corrections): -53.827 eV/cell
* ΔE_f (raw): -407 meV/atom
* calculated volume: 293 Å³/cell

Cell and atoms, written as CIF:
```
data_Li2GaSb
_symmetry_space_group_name_H-M 'F m -3 m'
_symmetry_Int_Tables_number 225
_symmetry_space_group_name_Hall '-F 4 2 3'
_cell_length_a 6.6437
_cell_length_b 6.6437
_cell_length_c 6.6437
_cell_angle_alpha 90.00
_cell_angle_beta 90.00
_cell_angle_gamma 90.00
loop_
_atom_site_label
_atom_site_fract_x
_atom_site_fract_y
_atom_site_fract_z
Li1 0.2500 0.2500 0.2500
Ga1 0.0000 0.0000 0.0000
Sb1 0.0000 0.0000 0.5000
```

[8]
Li2GaSb | GGA-PBEsol | relaxed

* E above lowest polymorph: 0.219 eV/atom
* crystal system: tetragonal
* total DFT energy (no corrections): -50.329 eV/cell
* ΔE_f (raw): -188 meV/atom
* calculated volume: 316 Å³/cell

Cell and atoms, written as CIF:
```
data_Li2GaSb
_symmetry_space_group_name_H-M 'I -4 2 d'
_symmetry_Int_Tables_number 122
_symmetry_space_group_name_Hall 'I -4 2bw'
_cell_length_a 4.0920
_cell_length_b 4.0920
_cell_length_c 18.8646
_cell_angle_alpha 90.00
_cell_angle_beta 90.00
_cell_angle_gamma 90.00
loop_
_atom_site_label
_atom_site_fract_x
_atom_site_fract_y
_atom_site_fract_z
Li1 0.2433 0.2500 0.1250
Ga1 0.0000 0.0000 0.0000
Sb1 0.0000 0.0000 0.5000
```

[9]
LiSc3Ga | GGA-PBEsol | relaxed

* crystal system: cubic
* total DFT energy (no corrections): -22.756 eV/cell
* formation enthalpy at 0 K: 473 meV/atom
* calculated volume: 108 Å³/cell

Cell and atoms, written as CIF:
```
data_LiSc3Ga
_symmetry_space_group_name_H-M 'P m -3 m'
_symmetry_Int_Tables_number 221
_symmetry_space_group_name_Hall '-P 4 2 3'
_cell_length_a 4.7590
_cell_length_b 4.7590
_cell_length_c 4.7590
_cell_angle_alpha 90.00
_cell_angle_beta 90.00
_cell_angle_gamma 90.00
loop_
_atom_site_label
_atom_site_fract_x
_atom_site_fract_y
_atom_site_fract_z
Li1 0.0000 0.0000 0.0000
Sc1 0.0000 0.0000 0.5000
Ga1 0.5000 0.5000 0.5000
```

[10]
LiScGa3 | GGA-PBEsol | relaxed

* crystal system: cubic
* total DFT energy (no corrections): -16.411 eV/cell
* formation enthalpy at 0 K: 436 meV/atom
* calculated volume: 137 Å³/cell

Cell and atoms, written as CIF:
```
data_LiScGa3
_symmetry_space_group_name_H-M 'P m -3 m'
_symmetry_Int_Tables_number 221
_symmetry_space_group_name_Hall '-P 4 2 3'
_cell_length_a 5.1593
_cell_length_b 5.1593
_cell_length_c 5.1593
_cell_angle_alpha 90.00
_cell_angle_beta 90.00
_cell_angle_gamma 90.00
loop_
_atom_site_label
_atom_site_fract_x
_atom_site_fract_y
_atom_site_fract_z
Li1 0.0000 0.0000 0.0000
Sc1 0.5000 0.5000 0.5000
Ga1 0.0000 0.5000 0.5000
```

[11]
LiSc2Ga2 | GGA-PBEsol | relaxed

* crystal system: tetragonal
* total DFT energy (no corrections): -48.454 eV/cell
* formation enthalpy at 0 K: -474 meV/atom
* calculated volume: 187 Å³/cell

Cell and atoms, written as CIF:
```
data_LiSc2Ga2
_symmetry_space_group_name_H-M 'P 4/m b m'
_symmetry_Int_Tables_number 127
_symmetry_space_group_name_Hall '-P 4 2ab'
_cell_length_a 6.7736
_cell_length_b 6.7736
_cell_length_c 4.0775
_cell_angle_alpha 90.00
_cell_angle_beta 90.00
_cell_angle_gamma 90.00
loop_
_atom_site_label
_atom_site_fract_x
_atom_site_fract_y
_atom_site_fract_z
Li1 0.0000 0.0000 0.0000
Sc1 0.1649 0.3351 0.5000
Ga1 0.1367 0.6367 0.0000
```

[12]
Li2GaSe | GGA-PBEsol | relaxed

* crystal system: cubic
* total DFT energy (no corrections): -52.687 eV/cell
* ΔE_f (raw): -512 meV/atom
* calculated volume: 278 Å³/cell

Cell and atoms, written as CIF:
```
data_Li2GaSe
_symmetry_space_group_name_H-M 'F m -3 m'
_symmetry_Int_Tables_number 225
_symmetry_space_group_name_Hall '-F 4 2 3'
_cell_length_a 6.5261
_cell_length_b 6.5261
_cell_length_c 6.5261
_cell_angle_alpha 90.00
_cell_angle_beta 90.00
_cell_angle_gamma 90.00
loop_
_atom_site_label
_atom_site_fract_x
_atom_site_fract_y
_atom_site_fract_z
Li1 0.2500 0.2500 0.2500
Ga1 0.0000 0.0000 0.0000
Se1 0.0000 0.0000 0.5000
```

[13]
Li2GaSe2 | GGA-PBEsol | relaxed

* crystal system: tetragonal
* total DFT energy (no corrections): -37.111 eV/cell
* ΔE_f (raw): -716 meV/atom
* calculated volume: 175 Å³/cell

Cell and atoms, written as CIF:
```
data_Li2GaSe2
_symmetry_space_group_name_H-M 'P 4/m b m'
_symmetry_Int_Tables_number 127
_symmetry_space_group_name_Hall '-P 4 2ab'
_cell_length_a 7.7769
_cell_length_b 7.7769
_cell_length_c 2.8915
_cell_angle_alpha 90.00
_cell_angle_beta 90.00
_cell_angle_gamma 90.00
loop_
_atom_site_label
_atom_site_fract_x
_atom_site_fract_y
_atom_site_fract_z
Li1 0.1302 0.3698 0.0000
Ga1 0.0000 0.0000 0.5000
Se1 0.1699 0.6699 0.5000
```

[14]
Li2Ga2Sn | GGA-PBEsol | relaxed

* E above lowest polymorph: 0.000 eV/atom
* crystal system: tetragonal
* total DFT energy (no corrections): -32.058 eV/cell
* formation enthalpy at 0 K: -231 meV/atom
* calculated volume: 175 Å³/cell

Cell and atoms, written as CIF:
```
data_Li2Ga2Sn
_symmetry_space_group_name_H-M 'P 4/m b m'
_symmetry_Int_Tables_number 127
_symmetry_space_group_name_Hall '-P 4 2ab'
_cell_length_a 7.5630
_cell_length_b 7.5630
_cell_length_c 3.0599
_cell_angle_alpha 90.00
_cell_angle_beta 90.00
_cell_angle_gamma 90.00
loop_
_atom_site_label
_atom_site_fract_x
_atom_site_fract_y
_atom_site_fract_z
Li1 0.1785 0.3215 0.0000
Ga1 0.1197 0.6197 0.5000
Sn1 0.0000 0.0000 0.5000
```

[15]
LiGa2Sn2 | GGA-PBEsol | relaxed

* crystal system: tetragonal
* total DFT energy (no corrections): -35.108 eV/cell
* formation enthalpy at 0 K: -78 meV/atom
* calculated volume: 214 Å³/cell

Cell and atoms, written as CIF:
```
data_LiGa2Sn2
_symmetry_space_group_name_H-M 'P 4/m b m'
_symmetry_Int_Tables_number 127
_symmetry_space_group_name_Hall '-P 4 2ab'
_cell_length_a 7.2770
_cell_length_b 7.2770
_cell_length_c 4.0431
_cell_angle_alpha 90.00
_cell_angle_beta 90.00
_cell_angle_gamma 90.00
loop_
_atom_site_label
_atom_site_fract_x
_atom_site_fract_y
_atom_site_fract_z
Li1 0.0000 0.0000 0.0000
Ga1 0.1260 0.3740 0.0000
Sn1 0.1815 0.6815 0.5000
```

[16]
Li2Ga2Sn | GGA-PBEsol | relaxed

* E above lowest polymorph: 0.081 eV/atom
* crystal system: tetragonal
* total DFT energy (no corrections): -31.244 eV/cell
* formation enthalpy at 0 K: -150 meV/atom
* calculated volume: 188 Å³/cell

Cell and atoms, written as CIF:
```
data_Li2Ga2Sn
_symmetry_space_group_name_H-M 'I 4/m m m'
_symmetry_Int_Tables_number 139
_symmetry_space_group_name_Hall '-I 4 2'
_cell_length_a 3.8704
_cell_length_b 3.8704
_cell_length_c 12.5174
_cell_angle_alpha 90.00
_cell_angle_beta 90.00
_cell_angle_gamma 90.00
loop_
_atom_site_label
_atom_site_fract_x
_atom_site_fract_y
_atom_site_fract_z
Li1 0.0000 0.5000 0.2500
Ga1 0.0000 0.0000 0.0997
Sn1 0.0000 0.0000 0.5000
```

[17]
LiGaSn3 | GGA-PBEsol | relaxed

* E above lowest polymorph: 0.000 eV/atom
* crystal system: cubic
* total DFT energy (no corrections): -16.861 eV/cell
* formation enthalpy at 0 K: 245 meV/atom
* calculated volume: 122 Å³/cell

Cell and atoms, written as CIF:
```
data_LiGaSn3
_symmetry_space_group_name_H-M 'P m -3 m'
_symmetry_Int_Tables_number 221
_symmetry_space_group_name_Hall '-P 4 2 3'
_cell_length_a 4.9629
_cell_length_b 4.9629
_cell_length_c 4.9629
_cell_angle_alpha 90.00
_cell_angle_beta 90.00
_cell_angle_gamma 90.00
loop_
_atom_site_label
_atom_site_fract_x
_atom_site_fract_y
_atom_site_fract_z
Li1 0.0000 0.0000 0.0000
Ga1 0.5000 0.5000 0.5000
Sn1 0.0000 0.0000 0.5000
```

[18]
SrLi3Ga | GGA-PBEsol | relaxed

* E above lowest polymorph: 1.047 eV/atom
* crystal system: cubic
* total DFT energy (no corrections): -6.308 eV/cell
* formation enthalpy at 0 K: 954 meV/atom
* calculated volume: 183 Å³/cell

Cell and atoms, written as CIF:
```
data_SrLi3Ga
_symmetry_space_group_name_H-M 'P m -3 m'
_symmetry_Int_Tables_number 221
_symmetry_space_group_name_Hall '-P 4 2 3'
_cell_length_a 5.6814
_cell_length_b 5.6814
_cell_length_c 5.6814
_cell_angle_alpha 90.00
_cell_angle_beta 90.00
_cell_angle_gamma 90.00
loop_
_atom_site_label
_atom_site_fract_x
_atom_site_fract_y
_atom_site_fract_z
Sr1 0.0000 0.0000 0.0000
Li1 0.0000 0.0000 0.5000
Ga1 0.5000 0.5000 0.5000
```

[19]
SrLi3Ga | GGA-PBEsol | relaxed

* E above lowest polymorph: 0.000 eV/atom
* crystal system: cubic
* total DFT energy (no corrections): -11.540 eV/cell
* formation enthalpy at 0 K: -92 meV/atom
* calculated volume: 122 Å³/cell

Cell and atoms, written as CIF:
```
data_SrLi3Ga
_symmetry_space_group_name_H-M 'P m -3 m'
_symmetry_Int_Tables_number 221
_symmetry_space_group_name_Hall '-P 4 2 3'
_cell_length_a 4.9548
_cell_length_b 4.9548
_cell_length_c 4.9548
_cell_angle_alpha 90.00
_cell_angle_beta 90.00
_cell_angle_gamma 90.00
loop_
_atom_site_label
_atom_site_fract_x
_atom_site_fract_y
_atom_site_fract_z
Sr1 0.0000 0.0000 0.0000
Li1 0.0000 0.5000 0.5000
Ga1 0.5000 0.5000 0.5000
```

[20]
Sr2LiGa2 | GGA-PBEsol | relaxed

* E above lowest polymorph: 0.099 eV/atom
* crystal system: tetragonal
* total DFT energy (no corrections): -26.250 eV/cell
* formation enthalpy at 0 K: -160 meV/atom
* calculated volume: 302 Å³/cell

Cell and atoms, written as CIF:
```
data_Sr2LiGa2
_symmetry_space_group_name_H-M 'I 4/m m m'
_symmetry_Int_Tables_number 139
_symmetry_space_group_name_Hall '-I 4 2'
_cell_length_a 6.1806
_cell_length_b 6.1806
_cell_length_c 7.9080
_cell_angle_alpha 90.00
_cell_angle_beta 90.00
_cell_angle_gamma 90.00
loop_
_atom_site_label
_atom_site_fract_x
_atom_site_fract_y
_atom_site_fract_z
Sr1 0.0000 0.5000 0.2500
Li1 0.0000 0.0000 0.0000
Ga1 0.0000 0.0000 0.3487
```